Below is a relaxed Tl2BiBr2 crystal, with properties calculated at the PBE level.

Calculated values
Its formation energy without anion corrections is -0.3218 eV per atom. As for the energy above the most stable polymorph in this dataset: 0 meV/atom. As for the total moment: 1.00 μB per formula unit. The space-group type is I4/mmm.

a = 6.557 Å, b = 6.557 Å, c = 6.557 Å
α = 120.53°, β = 120.53°, γ = 89.09°
Element x y z (fractional)
Tl: 0.250 0.750 0.500
Tl: 0.750 0.250 0.500
Bi: 0.000 0.000 0.000
Br: 0.312 0.312 0.000
Br: 0.688 0.688 0.000